(1)
An optimized crystal structure of LiGaReRu, computed with GGA-PBE.

```
8
Lattice="9.306 0.000 0.000 0.000 2.832 0.000 -1.374 0.000 4.322" Properties=species:S:1:pos:R:3 pbc="T T T"
Li 0.000 0.000 0.000
Li 4.653 1.416 0.000
Ga 3.855 0.000 2.105
Ga 8.508 1.416 2.105
Re 1.179 0.000 3.093
Re 5.832 1.416 3.093
Ru 2.074 1.416 0.951
Ru 6.727 0.000 0.951
```

Results
Total magnetic moment ... 0.00 μB per cell
ΔE_f ... 0.074 eV/atom
ΔE to the lowest computed polymorph ... 0.157 eV/atom
VASP energy ... -6.59 eV/atom

(2)
An optimized crystal structure of LiGaReRu, computed with GGA-PBE.

```
16
Lattice="6.014 0.000 0.000 0.000 6.014 0.000 0.000 0.000 6.014" Properties=species:S:1:pos:R:3 pbc="T T T"
Li 0.000 0.000 0.000
Li 0.000 3.007 3.007
Li 3.007 0.000 3.007
Li 3.007 3.007 0.000
Ga 1.504 1.504 4.511
Ga 1.504 4.511 1.504
Ga 4.511 1.504 1.504
Ga 4.511 4.511 4.511
Re 1.504 1.504 1.504
Re 1.504 4.511 4.511
Re 4.511 1.504 4.511
Re 4.511 4.511 1.504
Ru 0.000 0.000 3.007
Ru 0.000 3.007 0.000
Ru 3.007 0.000 0.000
Ru 3.007 3.007 3.007
```

Results
Total magnetic moment ... 0.00 μB per cell
ΔE_f ... -0.082 eV/atom
ΔE to the lowest computed polymorph ... 0.000 eV/atom
VASP energy ... -6.75 eV/atom

(3)
An optimized crystal structure of LiGaReRu, computed with GGA-PBE.

```
8
Lattice="8.565 0.000 0.000 0.000 2.758 0.000 -0.554 0.000 4.774" Properties=species:S:1:pos:R:3 pbc="T T T"
Li 0.000 0.000 0.000
Li 4.282 1.379 0.000
Ga 1.688 0.000 3.787
Ga 5.970 1.379 3.787
Re -0.240 1.379 2.376
Re 4.043 0.000 2.376
Ru 2.038 1.379 1.367
Ru 6.320 0.000 1.367
```

Results
Total magnetic moment ... 0.00 μB per cell
ΔE_f ... 0.042 eV/atom
ΔE to the lowest computed polymorph ... 0.124 eV/atom
VASP energy ... -6.62 eV/atom

(4)
An optimized crystal structure of LiGaReRu, computed with GGA-PBE.

```
8
Lattice="8.699 0.000 0.000 0.000 2.767 0.000 -0.575 0.000 4.708" Properties=species:S:1:pos:R:3 pbc="T T T"
Li 0.000 0.000 0.000
Li 4.349 1.383 0.000
Ga 1.678 0.000 3.756
Ga 6.028 1.383 3.756
Re 2.097 1.383 1.400
Re 6.446 0.000 1.400
Ru -0.214 1.383 2.343
Ru 4.135 0.000 2.343
```

Results
Total magnetic moment ... 0.00 μB per cell
ΔE_f ... 0.040 eV/atom
ΔE to the lowest computed polymorph ... 0.122 eV/atom
VASP energy ... -6.63 eV/atom

(5)
An optimized crystal structure of LiGaReRu, computed with GGA-PBE.

```
8
Lattice="7.220 0.000 0.000 0.000 4.165 0.000 -2.402 0.000 4.324" Properties=species:S:1:pos:R:3 pbc="T T T"
Li 0.000 0.000 0.000
Li 3.610 2.082 0.000
Ga 1.211 2.082 1.347
Ga 4.821 0.000 1.347
Re -1.200 2.082 3.009
Re 2.410 0.000 3.009
Ru 0.008 0.000 2.603
Ru 3.617 2.082 2.603
```

Results
Total magnetic moment ... 0.00 μB per cell
ΔE_f ... 0.144 eV/atom
ΔE to the lowest computed polymorph ... 0.226 eV/atom
VASP energy ... -6.52 eV/atom

(6)
An optimized crystal structure of LiGaReRu, computed with GGA-PBE.

```
4
Lattice="2.942 0.000 0.000 0.000 2.942 0.000 0.000 0.000 6.245" Properties=species:S:1:pos:R:3 pbc="T T T"
Li 0.000 0.000 0.000
Ga 1.471 1.471 1.349
Re 1.471 1.471 4.641
Ru 0.000 0.000 3.072
```

Results
Total magnetic moment ... 0.00 μB per cell
ΔE_f ... -0.071 eV/atom
ΔE to the lowest computed polymorph ... 0.011 eV/atom
VASP energy ... -6.74 eV/atom

(7)
An optimized crystal structure of LiGaReRu, computed with GGA-PBE.

```
4
Lattice="4.515 0.000 0.000 0.000 2.824 0.000 -1.041 0.000 4.427" Properties=species:S:1:pos:R:3 pbc="T T T"
Li 0.000 0.000 0.000
Ga 2.257 1.412 0.000
Re 1.737 0.000 2.214
Ru -0.521 1.412 2.214
```

Results
Total magnetic moment ... 0.00 μB per cell
ΔE_f ... 0.076 eV/atom
ΔE to the lowest computed polymorph ... 0.159 eV/atom
VASP energy ... -6.59 eV/atom

(8)
An optimized crystal structure of LiGaReRu, computed with GGA-PBE.

```
16
Lattice="6.040 0.000 0.000 0.000 6.040 0.000 0.000 0.000 6.040" Properties=species:S:1:pos:R:3 pbc="T T T"
Li 0.000 0.000 0.000
Li 0.000 3.020 3.020
Li 3.020 0.000 3.020
Li 3.020 3.020 0.000
Ga 1.510 1.510 1.510
Ga 1.510 4.530 4.530
Ga 4.530 1.510 4.530
Ga 4.530 4.530 1.510
Re 0.000 0.000 3.020
Re 0.000 3.020 0.000
Re 3.020 0.000 0.000
Re 3.020 3.020 3.020
Ru 1.510 1.510 4.530
Ru 1.510 4.530 1.510
Ru 4.530 1.510 1.510
Ru 4.530 4.530 4.530
```

Results
Total magnetic moment ... 0.00 μB per cell
ΔE_f ... -0.042 eV/atom
ΔE to the lowest computed polymorph ... 0.040 eV/atom
VASP energy ... -6.71 eV/atom

(9)
An optimized crystal structure of LiGaReTc, computed with GGA-PBE.

```
16
Lattice="6.059 0.000 0.000 0.000 6.059 0.000 0.000 0.000 6.059" Properties=species:S:1:pos:R:3 pbc="T T T"
Li 0.000 0.000 0.000
Li 0.000 3.029 3.029
Li 3.029 0.000 3.029
Li 3.029 3.029 0.000
Ga 1.515 1.515 1.515
Ga 1.515 4.544 4.544
Ga 4.544 1.515 4.544
Ga 4.544 4.544 1.515
Re 0.000 0.000 3.029
Re 0.000 3.029 0.000
Re 3.029 0.000 0.000
Re 3.029 3.029 3.029
Tc 1.515 1.515 4.544
Tc 1.515 4.544 1.515
Tc 4.544 1.515 1.515
Tc 4.544 4.544 4.544
```

Results
Total magnetic moment ... 0.00 μB per cell
ΔE_f ... -0.095 eV/atom
VASP energy ... -7.03 eV/atom

(10)
An optimized crystal structure of LiGaRe2Te, computed with GGA-PBE.

```
5
Lattice="4.911 0.000 0.000 0.000 4.911 0.000 0.000 0.000 4.571" Properties=species:S:1:pos:R:3 pbc="T T T"
Li 0.000 0.000 0.000
Ga 2.456 2.456 0.000
Re 0.000 2.456 2.286
Re 2.456 0.000 2.286
Te 0.000 0.000 2.286
```

Results
Total magnetic moment ... 1.49 μB per cell
VASP energy ... -4.94 eV/atom
Uncorrected formation energy ... 1659 meV/atom

(11)
An optimized crystal structure of LiTiGaRe2, computed with GGA-PBE.

```
5
Lattice="4.230 0.000 0.000 0.000 4.230 0.000 0.000 0.000 4.100" Properties=species:S:1:pos:R:3 pbc="T T T"
Li 0.000 0.000 0.000
Ti 0.000 0.000 2.050
Ga 2.115 2.115 2.050
Re 0.000 2.115 0.000
Re 2.115 0.000 0.000
```

Results
Total magnetic moment ... 0.00 μB per cell
ΔE_f ... 1.007 eV/atom
VASP energy ... -6.54 eV/atom

(12)
An optimized crystal structure of LiVGaRe, computed with GGA-PBE.

```
16
Lattice="6.051 0.000 0.000 0.000 6.051 0.000 0.000 0.000 6.051" Properties=species:S:1:pos:R:3 pbc="T T T"
Li 0.000 0.000 0.000
Li 0.000 3.026 3.026
Li 3.026 0.000 3.026
Li 3.026 3.026 0.000
V 1.513 1.513 4.538
V 1.513 4.538 1.513
V 4.538 1.513 1.513
V 4.538 4.538 4.538
Ga 1.513 1.513 1.513
Ga 1.513 4.538 4.538
Ga 4.538 1.513 4.538
Ga 4.538 4.538 1.513
Re 0.000 0.000 3.026
Re 0.000 3.026 0.000
Re 3.026 0.000 0.000
Re 3.026 3.026 3.026
```

Results
Total magnetic moment ... 0.00 μB per cell
ΔE_f ... -0.015 eV/atom
VASP energy ... -6.64 eV/atom